Entry 1:
First-principles (PBE) data for a relaxed structure of AcTbPr3, as listed in Alexandria.

Output
As for the distance to the lowest polymorph of the same formula: 244 meV per atom. The calculated volume is 393 Å³ per cell. As for the space-group type: Cmcm, No. 63. The spin magnetization is 0.0 μB/cell. The calculation puts the density of states at the Fermi level at 0.90 states/eV per atom. The calculated formation energy comes out at 0.32 eV per atom.

Lattice parameters (Å, degrees): 8.544 8.544 6.346 90.00 90.00 57.92
Fractional coordinates of all 10 atoms:
Tb: 0.352 0.352 0.750
Tb: 0.648 0.648 0.250
Ac: 0.797 0.797 0.750
Ac: 0.203 0.203 0.250
Pr: 0.000 0.000 0.000
Pr: 0.603 0.208 0.250
Pr: 0.208 0.603 0.250
Pr: 0.000 0.000 0.500
Pr: 0.792 0.397 0.750
Pr: 0.397 0.792 0.750

=====

Entry 2:
First-principles (PBE) data for a relaxed structure of SrLiSn, as listed in Alexandria.

Output
The calculated volume is 88 Å³ per cell. As for the space-group type: I4mm, No. 107. The spin magnetization is 0.2 μB/cell. The calculation puts the density of states at the Fermi level at 0.55 states/eV per atom. The calculated formation energy comes out at -0.35 eV per atom.

Lattice parameters (Å, degrees): 3.887 3.887 6.421 107.62 107.62 90.00
Fractional coordinates of all 3 atoms:
Li: 0.322 0.322 0.644
Sr: 0.610 0.610 0.221
Sn: 0.918 0.918 0.836

=====

Entry 3:
First-principles (PBE) data for a relaxed structure of SrLa2Bi2, as listed in Alexandria.

Output
As for the distance to the lowest polymorph of the same formula: 222 meV per atom. The calculated volume is 355 Å³ per cell. As for the space-group type: P4/mbm, No. 127. The spin magnetization is 0.0 μB/cell. The calculation puts the density of states at the Fermi level at 1.15 states/eV per atom. The calculated formation energy comes out at -0.64 eV per atom.

Lattice parameters (Å, degrees): 9.245 9.245 4.149 90.00 90.00 90.00
Fractional coordinates of all 10 atoms:
Bi: 0.830 0.330 0.500
Bi: 0.330 0.170 0.500
Bi: 0.670 0.830 0.500
Bi: 0.170 0.670 0.500
La: 0.371 0.871 0.000
La: 0.629 0.129 0.000
La: 0.871 0.629 0.000
La: 0.129 0.371 0.000
Sr: 0.000 0.000 0.000
Sr: 0.500 0.500 0.000

=====

Entry 4:
First-principles (PBE) data for a relaxed structure of Pm3HoIr8, as listed in Alexandria.

Output
The calculated volume is 223 Å³ per cell. As for the space-group type: R3m, No. 160. The spin magnetization is 0.0 μB/cell. The calculation puts the density of states at the Fermi level at 0.81 states/eV per atom. The calculated formation energy comes out at -0.75 eV per atom.

Lattice parameters (Å, degrees): 5.407 5.407 9.357 73.21 73.21 60.00
Fractional coordinates of all 12 atoms:
Pm: 0.375 0.375 0.875
Pm: 0.500 0.500 0.499
Pm: 0.000 0.000 0.001
Ho: 0.875 0.875 0.376
Ir: 0.936 0.437 0.190
Ir: 0.938 0.439 0.685
Ir: 0.437 0.936 0.190
Ir: 0.439 0.938 0.685
Ir: 0.938 0.938 0.685
Ir: 0.688 0.688 0.937
Ir: 0.437 0.437 0.190
Ir: 0.188 0.188 0.437

=====

Entry 5:
First-principles (PBE) data for a relaxed structure of Na2Mg2Cd3, as listed in Alexandria.

Output
The calculated volume is 168 Å³ per cell. As for the space-group type: C2/m, No. 12. The spin magnetization is 0.0 μB/cell. The calculation puts the density of states at the Fermi level at 0.31 states/eV per atom. The calculated formation energy comes out at -0.02 eV per atom.

Lattice parameters (Å, degrees): 5.179 5.183 7.837 89.97 109.31 119.95
Fractional coordinates of all 7 atoms:
Na: 0.838 0.419 0.256
Na: 0.162 0.581 0.744
Cd: 0.451 0.726 0.176
Cd: 0.000 0.000 0.000
Cd: 0.549 0.274 0.824
Mg: 0.722 0.861 0.584
Mg: 0.278 0.139 0.416

=====

Entry 6:
First-principles (PBE) data for a relaxed structure of CoOsPd2, as listed in Alexandria.

Output
As for the distance to the lowest polymorph of the same formula: 0 meV per atom. The calculated volume is 56 Å³ per cell. As for the space-group type: Fm-3m, No. 225. The spin magnetization is 0.0 μB/cell. The calculation puts the density of states at the Fermi level at 1.39 states/eV per atom. The calculated formation energy comes out at 0.58 eV per atom.

Lattice parameters (Å, degrees): 4.305 4.305 4.305 60.00 60.00 60.00
Fractional coordinates of all 4 atoms:
Co: 0.000 0.000 0.000
Pd: 0.250 0.250 0.250
Pd: 0.750 0.750 0.750
Os: 0.500 0.500 0.500

=====

Entry 7:
First-principles (PBE) data for a relaxed structure of Li3TbPd6, as listed in Alexandria.

Output
The calculated volume is 309 Å³ per cell. As for the space-group type: P2_1/m, No. 11. The spin magnetization is 0.0 μB/cell. The calculation puts the density of states at the Fermi level at 0.26 states/eV per atom. The calculated formation energy comes out at -0.53 eV per atom.

Lattice parameters (Å, degrees): 4.309 7.856 9.331 101.96 90.00 90.00
Fractional coordinates of all 20 atoms:
Li: 0.750 0.460 0.604
Li: 0.250 0.750 0.976
Li: 0.250 0.540 0.396
Li: 0.250 0.355 0.824
Li: 0.750 0.250 0.024
Li: 0.750 0.645 0.176
Pd: 0.750 0.725 0.476
Pd: 0.250 0.275 0.524
Pd: 0.750 0.931 0.081
Pd: 0.250 0.459 0.103
Pd: 0.750 0.541 0.897
Pd: 0.750 0.386 0.301
Pd: 0.250 0.614 0.699
Pd: 0.250 0.157 0.214
Pd: 0.250 0.069 0.919
Pd: 0.750 0.182 0.725
Pd: 0.750 0.843 0.786
Pd: 0.250 0.818 0.275
Tb: 0.250 0.936 0.621
Tb: 0.750 0.064 0.379

=====

Entry 8:
First-principles (PBE) data for a relaxed structure of YTm2ThN4, as listed in Alexandria.

Output
The calculated volume is 121 Å³ per cell. As for the space-group type: P2/m, No. 10. Its formation energy without anion corrections is -1.71 eV per atom. The spin magnetization is 0.0 μB/cell. The calculation puts the density of states at the Fermi level at 0.21 states/eV per atom.

Lattice parameters (Å, degrees): 3.499 6.043 6.045 109.32 90.00 90.00
Fractional coordinates of all 8 atoms:
N: 0.000 0.754 0.259
N: 0.500 0.252 0.256
N: 0.500 0.748 0.744
N: 0.000 0.246 0.741
Tm: 0.000 0.500 0.500
Tm: 0.500 0.000 0.500
Y: 0.000 0.000 0.000
Th: 0.500 0.500 0.000

=====

Entry 9:
First-principles (PBE) data for a relaxed structure of PrAlPRh6, as listed in Alexandria.

Output
The calculated volume is 313 Å³ per cell. As for the space-group type: Imma, No. 74. The spin magnetization is 0.0 μB/cell. The calculation puts the density of states at the Fermi level at 0.84 states/eV per atom. The calculated formation energy comes out at -0.31 eV per atom.

Lattice parameters (Å, degrees): 6.029 9.172 7.889 125.54 112.46 90.00
Fractional coordinates of all 18 atoms:
P: 0.500 0.500 0.000
P: 0.500 0.000 0.000
Rh: 0.637 0.883 0.738
Rh: 0.080 0.830 0.160
Rh: 0.899 0.117 0.262
Rh: 0.101 0.354 0.738
Rh: 0.363 0.117 0.262
Rh: 0.559 0.309 0.117
Rh: 0.899 0.646 0.262
Rh: 0.101 0.883 0.738
Rh: 0.637 0.354 0.738
Rh: 0.920 0.170 0.840
Rh: 0.363 0.646 0.262
Rh: 0.441 0.691 0.883
Pr: 0.818 0.568 0.635
Pr: 0.182 0.432 0.365
Al: 0.000 0.000 0.500
Al: 0.500 0.000 0.500

=====

Entry 10:
First-principles (PBE) data for a relaxed structure of NdNi3Rh, as listed in Alexandria.

Output
The calculated volume is 171 Å³ per cell. As for the space-group type: Cmcm, No. 63. The spin magnetization is 2.7 μB/cell. The calculation puts the density of states at the Fermi level at 1.39 states/eV per atom. The calculated formation energy comes out at 0.08 eV per atom.

Lattice parameters (Å, degrees): 4.382 8.727 8.727 149.27 90.00 90.00
Fractional coordinates of all 10 atoms:
Nd: 0.250 0.410 0.590
Nd: 0.750 0.590 0.410
Ni: 0.500 0.000 0.000
Ni: 0.250 0.008 0.468
Ni: 0.000 0.000 0.000
Ni: 0.750 0.992 0.532
Ni: 0.250 0.532 0.992
Ni: 0.750 0.468 0.008
Rh: 0.250 0.138 0.862
Rh: 0.750 0.862 0.138

=====

Entry 11:
First-principles (PBE) data for a relaxed structure of Ga2Pd4Au, as listed in Alexandria.

Output
As for the distance to the lowest polymorph of the same formula: 750 meV per atom. The calculated volume is 154 Å³ per cell. As for the space-group type: I4/mmm, No. 139. The spin magnetization is 0.0 μB/cell. The calculation puts the density of states at the Fermi level at 0.43 states/eV per atom. The calculated formation energy comes out at 0.36 eV per atom.

Lattice parameters (Å, degrees): 4.946 4.946 7.207 69.93 69.93 90.00
Fractional coordinates of all 7 atoms:
Ga: 0.602 0.602 0.796
Ga: 0.398 0.398 0.204
Pd: 0.000 0.500 0.000
Pd: 0.500 0.000 0.000
Pd: 0.788 0.788 0.423
Pd: 0.212 0.212 0.577
Au: 0.000 0.000 0.000

=====

Entry 12:
First-principles (PBE) data for a relaxed structure of GdLuCu, as listed in Alexandria.

Output
As for the distance to the lowest polymorph of the same formula: 0 meV per atom. The calculated volume is 73 Å³ per cell. As for the space-group type: I4mm, No. 107. The spin magnetization is 7.8 μB/cell. The calculation puts the density of states at the Fermi level at 1.09 states/eV per atom. The calculated formation energy comes out at -0.15 eV per atom.

Lattice parameters (Å, degrees): 3.454 3.454 6.574 105.23 105.23 90.00
Fractional coordinates of all 3 atoms:
Lu: 0.302 0.302 0.603
Gd: 0.022 0.022 0.044
Cu: 0.676 0.676 0.353

=====

Look up the calculated volume of the twelfth one.
73 Å³ per cell

=====

What is the formula in the seventh record?
Li3TbPd6

=====

Look up the density of states at the Fermi level of the third one.
1.15 states/eV per atom

=====

Copy entry 3 word for word.
First-principles (PBE) data for a relaxed structure of SrLa2Bi2, as listed in Alexandria.

Output
As for the distance to the lowest polymorph of the same formula: 222 meV per atom. The calculated volume is 355 Å³ per cell. As for the space-group type: P4/mbm, No. 127. The spin magnetization is 0.0 μB/cell. The calculation puts the density of states at the Fermi level at 1.15 states/eV per atom. The calculated formation energy comes out at -0.64 eV per atom.

Lattice parameters (Å, degrees): 9.245 9.245 4.149 90.00 90.00 90.00
Fractional coordinates of all 10 atoms:
Bi: 0.830 0.330 0.500
Bi: 0.330 0.170 0.500
Bi: 0.670 0.830 0.500
Bi: 0.170 0.670 0.500
La: 0.371 0.871 0.000
La: 0.629 0.129 0.000
La: 0.871 0.629 0.000
La: 0.129 0.371 0.000
Sr: 0.000 0.000 0.000
Sr: 0.500 0.500 0.000